A | Here is crystalline Rb2Cd3Ag at its relaxed geometry from Alexandria via LeMat-Bulk. Energies are from PBE.

## Properties
The density of states at the Fermi level is 2.245 states/eV/cell.

```
Rb2Cd3Ag
1.0
-1.099 -5.861 -2.365
5.704 2.756 -1.007
0.697 0.843 6.437
Rb Cd Ag
2 3 1
direct
0.253 0.627 0.879
0.747 0.373 0.121
0.000 0.000 0.500
0.500 0.000 0.500
0.500 0.500 0.500
0.000 0.000 0.000
```

B | Here is crystalline Rb2Cd3Ag at its relaxed geometry from Alexandria via LeMat-Bulk. Energies are from PBE.

## Properties
The density of states at the Fermi level is 4.818 states/eV/cell.

```
Rb2Cd3Ag
1.0
9.788 -0.345 -0.246
0.906 6.840 -0.446
0.906 1.812 6.610
Cd Rb Ag
6 4 2
direct
0.013 0.042 0.750
0.513 0.750 0.042
0.750 0.707 0.293
0.487 0.250 0.958
0.987 0.958 0.250
0.250 0.293 0.707
0.349 0.798 0.551
0.849 0.551 0.798
0.651 0.202 0.449
0.151 0.449 0.202
0.250 0.965 0.035
0.750 0.035 0.965
```

Short version: A is the most stable of them.

A | Here is crystalline Rb2Cd5Ag at its relaxed geometry from Alexandria via LeMat-Bulk. Energies are from PBE.

## Properties
The density of states at the Fermi level is 7.416 states/eV/cell.

```
Rb2Cd5Ag
1.0
5.305 0.000 0.000
-2.652 9.139 0.000
0.000 0.000 10.559
Cd Ag Rb
10 2 4
direct
0.811 0.622 0.111
0.811 0.622 0.389
0.347 0.695 0.982
0.653 0.305 0.482
0.189 0.378 0.889
0.595 0.190 0.750
0.189 0.378 0.611
0.347 0.695 0.518
0.405 0.810 0.250
0.653 0.305 0.018
0.564 0.128 0.250
0.436 0.872 0.750
0.000 0.000 0.000
0.195 0.391 0.250
0.000 0.000 0.500
0.805 0.609 0.750
```

B | Here is crystalline Rb2Cd5Ag at its relaxed geometry from Alexandria via LeMat-Bulk. Energies are from PBE.

## Properties
The density of states at the Fermi level is 3.851 states/eV/cell.

```
Rb2Cd5Ag
1.0
-5.526 -1.431 -3.327
0.012 -6.082 2.600
-0.769 5.866 5.313
Cd Rb Ag
5 2 1
direct
0.669 0.669 0.338
0.277 0.791 0.069
0.791 0.277 0.069
0.277 0.277 0.069
0.791 0.791 0.068
0.788 0.288 0.575
0.288 0.788 0.575
0.896 0.896 0.792
```

Short version: A is the most stable of them.

A | Here is crystalline Cd2ReAg at its relaxed geometry from Alexandria via LeMat-Bulk. Energies are from PBE.

## Properties
The density of states at the Fermi level is 1.973 states/eV/cell.

```
Cd2ReAg
1.0
-1.059 2.006 1.898
-4.648 -1.813 -0.677
0.682 -3.124 3.681
Ag Cd Re
1 2 1
direct
0.000 0.500 0.500
0.000 0.000 0.000
0.500 0.500 0.000
0.500 0.000 0.500
```

B | Here is crystalline Cd2ReAg at its relaxed geometry from Alexandria via LeMat-Bulk. Energies are from PBE.

## Properties
The density of states at the Fermi level is 1.958 states/eV/cell.

```
Cd2ReAg
1.0
5.043 0.010 0.003
4.270 2.682 0.003
0.733 0.212 5.382
Cd Re Ag
2 1 1
direct
0.501 0.501 0.492
0.999 0.999 0.008
0.250 0.250 0.250
0.750 0.750 0.750
```

Short version: B is the most stable of them.

A | Here is crystalline Cd2ReAg at its relaxed geometry from Alexandria via LeMat-Bulk. Energies are from PBE.

## Properties
The density of states at the Fermi level is 1.745 states/eV/cell.

```
Cd2ReAg
1.0
9.910 -0.009 -0.005
9.485 2.871 -0.005
9.485 1.400 2.507
Re Cd Ag
1 2 1
direct
0.250 0.250 0.250
0.501 0.501 0.501
0.999 0.999 0.999
0.750 0.750 0.750
```

B | Here is crystalline Cd2ReAg at its relaxed geometry from Alexandria via LeMat-Bulk. Energies are from PBE.

## Properties
The density of states at the Fermi level is 2.407 states/eV/cell.

```
Cd2ReAg
1.0
4.722 0.000 0.000
2.361 4.089 0.000
2.361 1.363 3.855
Re Cd Ag
1 2 1
direct
0.750 0.750 0.750
0.000 0.000 0.000
0.250 0.250 0.250
0.500 0.500 0.500
```

Short version: A is the most stable of them.